1.
First-principles (GGA-PBE) data for crystalline Sc2Cu2Pt at its relaxed geometry, as listed in the Alexandria database.

Lattice parameters (Å, degrees): 7.2124 7.2124 3.4450 90.00 90.00 90.00
Last column: nearest neighbours and their distance in Å.
Atoms (fractional coordinates):
Cu1 0.3749 0.1251 0.5000  1 Cu 2.55, 6 Sc 2.73-2.74
Cu2 0.8749 0.3749 0.5000  1 Cu 2.55, 6 Sc 2.73-2.74
Pt1 0.0000 0.0000 0.0000  4 Sc 2.69
Cu3 0.1251 0.6251 0.5000  1 Cu 2.55, 6 Sc 2.73-2.74
Sc1 0.1662 0.3338 0.0000  2 Pt 2.69, 6 Cu 2.73-2.74
Sc2 0.6662 0.1662 0.0000  2 Pt 2.69, 6 Cu 2.73-2.74
Sc3 0.8338 0.6662 0.0000  2 Pt 2.69, 6 Cu 2.73-2.74
Pt2 0.5000 0.5000 0.0000  4 Sc 2.69
Sc4 0.3338 0.8338 0.0000  2 Pt 2.69, 6 Cu 2.73-2.74
Cu4 0.6251 0.8749 0.5000  1 Cu 2.55, 6 Sc 2.73-2.74

Magnetic moment, μB/f.u.: 0.0
E above lowest polymorph, meV per atom: 355
E_form, eV/atom: -0.225

2.
First-principles (GGA-PBE) data for crystalline ScCuPt3 at its relaxed geometry, as listed in the Alexandria database.

Lattice parameters (Å, degrees): 3.9533 5.6015 8.5009 120.30 103.45 90.00
Last column: nearest neighbours and their distance in Å.
Atoms (fractional coordinates):
Sc1 0.6071 0.6627 0.2141  9 Pt 2.70-2.90, 2 Cu 2.84
Pt1 0.6048 0.1611 0.2096  3 Cu 2.69-2.75, 7 Pt 2.78-2.96, 2 Sc 2.79-2.81
Pt2 0.7978 0.9385 0.5957  4 Cu 2.68-2.92, 3 Sc 2.70-2.78, 5 Pt 2.78-2.93
Cu1 0.7950 0.4552 0.5899  2 Cu 2.67, 8 Pt 2.68-2.92, 2 Sc 2.84
Sc2 0.3929 0.3373 0.7859  9 Pt 2.70-2.90, 2 Cu 2.84
Pt3 0.2022 0.0615 0.4043  4 Cu 2.68-2.92, 3 Sc 2.70-2.78, 5 Pt 2.78-2.93
Pt4 0.3952 0.8389 0.7904  3 Cu 2.69-2.75, 7 Pt 2.78-2.96, 2 Sc 2.79-2.81
Cu2 0.2050 0.5448 0.4101  2 Cu 2.67, 8 Pt 2.68-2.92, 2 Sc 2.84
Pt5 0.0048 0.2550 0.0095  7 Pt 2.78-2.93, 4 Sc 2.82-2.90, 1 Cu 2.83
Pt6 0.9952 0.7450 0.9905  7 Pt 2.78-2.93, 4 Sc 2.82-2.90, 1 Cu 2.83

Magnetic moment, μB/f.u.: 0.0
E above lowest polymorph, meV per atom: 0
E_form, eV/atom: -0.718

3.
First-principles (GGA-PBE) data for crystalline ScCu2Pt at its relaxed geometry, as listed in the Alexandria database.

Lattice parameters (Å, degrees): 4.4238 4.4238 4.4238 60.00 60.00 60.00
Last column: nearest neighbours and their distance in Å.
Atoms (fractional coordinates):
Sc1 0.7500 0.7500 0.7500  4 Pt 2.71, 4 Cu 2.71
Cu1 0.2500 0.2500 0.2500  4 Cu 2.71, 4 Pt 2.71
Pt1 0.5000 0.5000 0.5000  4 Cu 2.71, 4 Sc 2.71
Cu2 0.0000 0.0000 0.0000  4 Sc 2.71, 4 Cu 2.71

Magnetic moment, μB/f.u.: 0.0
E_form, eV/atom: -0.511

4.
First-principles (GGA-PBE) data for crystalline Sc2Cu2Pt at its relaxed geometry, as listed in the Alexandria database.

Lattice parameters (Å, degrees): 4.9853 4.9853 5.0511 60.43 60.43 90.00
Last column: nearest neighbours and their distance in Å.
Atoms (fractional coordinates):
Pt1 0.0000 0.0000 0.0000  2 Cu 2.53
Cu1 0.3499 0.3499 0.3002  1 Cu 2.17
Sc1 0.7500 0.2500 0.5000  4 Cu 2.60
Cu2 0.6501 0.6501 0.6998  1 Cu 2.17
Sc2 0.2500 0.7500 0.5000  4 Cu 2.60

Magnetic moment, μB/f.u.: 0.0
E above lowest polymorph, meV per atom: 282
E_form, eV/atom: -0.298

5.
First-principles (GGA-PBE) data for crystalline Sc4CuPt2 at its relaxed geometry, as listed in the Alexandria database.

Lattice parameters (Å, degrees): 4.6196 4.6196 7.9047 73.01 73.01 60.00
Last column: nearest neighbours and their distance in Å.
Atoms (fractional coordinates):
Sc1 0.8730 0.8730 0.3811  4 Pt 2.78-2.85, 1 Cu 2.84
Sc2 0.3777 0.3777 0.8668  4 Pt 2.79-2.82, 3 Cu 2.85
Cu1 0.0000 0.0000 0.0000  8 Sc 2.84-2.85
Pt1 0.2515 0.2515 0.2455  8 Sc 2.78-2.85
Pt2 0.7485 0.7485 0.7545  8 Sc 2.78-2.85
Sc3 0.1270 0.1270 0.6189  4 Pt 2.78-2.85, 1 Cu 2.84
Sc4 0.6223 0.6223 0.1332  4 Pt 2.79-2.82, 3 Cu 2.85

Magnetic moment, μB/f.u.: 0.0
E_form, eV/atom: -0.841

6.
First-principles (GGA-PBE) data for crystalline Sc4CuPt5 at its relaxed geometry, as listed in the Alexandria database.

Lattice parameters (Å, degrees): 3.2888 3.2888 15.8584 90.00 90.00 90.00
Last column: nearest neighbours and their distance in Å.
Atoms (fractional coordinates):
Pt1 0.5000 0.5000 0.0882  4 Cu 2.71, 4 Sc 2.75, 1 Pt 2.80
Cu1 0.0000 0.0000 0.0000  8 Pt 2.71, 2 Sc 2.87
Sc1 0.0000 0.0000 0.6070  8 Pt 2.85-2.88
Sc2 0.0000 0.0000 0.8192  8 Pt 2.75-2.89, 1 Cu 2.87
Pt2 0.5000 0.5000 0.7114  8 Sc 2.85-2.89, 1 Pt 3.18
Sc3 0.0000 0.0000 0.3930  8 Pt 2.85-2.88
Pt3 0.5000 0.5000 0.2886  8 Sc 2.85-2.89, 1 Pt 3.18
Sc4 0.0000 0.0000 0.1808  8 Pt 2.75-2.89, 1 Cu 2.87
Pt4 0.5000 0.5000 0.5000  8 Sc 2.88
Pt5 0.5000 0.5000 0.9118  4 Cu 2.71, 4 Sc 2.75, 1 Pt 2.80

Magnetic moment, μB/f.u.: 0.0
E_form, eV/atom: -1.082

7.
First-principles (GGA-PBE) data for crystalline ScCu2Pt at its relaxed geometry, as listed in the Alexandria database.

Lattice parameters (Å, degrees): 4.8255 4.8255 4.8255 132.60 132.69 69.21
Last column: nearest neighbours and their distance in Å.
Atoms (fractional coordinates):
Cu1 0.7498 0.2498 0.5000  4 Sc 2.74, 4 Cu 2.77-2.78, 4 Pt 2.77-2.78
Pt1 0.4999 0.4999 0.0000  8 Cu 2.74-2.78, 4 Sc 2.77
Cu2 0.0003 0.0003 0.0000  4 Pt 2.74, 4 Cu 2.77-2.78, 4 Sc 2.77
Sc1 0.2500 0.7500 0.5000  8 Cu 2.74-2.77, 4 Pt 2.77

Magnetic moment, μB/f.u.: 0.0
E_form, eV/atom: -0.561

8.
First-principles (GGA-PBE) data for crystalline ScCu3Pt at its relaxed geometry, as listed in the Alexandria database.

Lattice parameters (Å, degrees): 4.5323 4.5323 4.5323 90.00 90.00 90.00
Last column: nearest neighbours and their distance in Å.
Atoms (fractional coordinates):
Pt1 0.5000 0.5000 0.5000  12 Cu 3.20
Cu1 0.0000 0.0000 0.5000  2 Sc 2.27
Sc1 0.0000 0.0000 0.0000  6 Cu 2.27
Cu2 0.0000 0.5000 0.0000  2 Sc 2.27
Cu3 0.5000 0.0000 0.0000  2 Sc 2.27

Magnetic moment, μB/f.u.: 0.0
E above lowest polymorph, meV per atom: 1292
E_form, eV/atom: 1.302

9.
First-principles (GGA-PBE) data for crystalline ScCu2Pt2 at its relaxed geometry, as listed in the Alexandria database.

Lattice parameters (Å, degrees): 7.2244 7.2244 2.9884 90.00 90.00 90.00
Last column: nearest neighbours and their distance in Å.
Atoms (fractional coordinates):
Cu1 0.1565 0.6565 0.5000  6 Pt 2.55-2.62
Sc1 0.5000 0.5000 0.0000  4 Pt 2.79, 2 Sc 2.99, 8 Cu 3.11
Cu2 0.3435 0.1565 0.5000  6 Pt 2.55-2.62
Pt1 0.8591 0.6409 0.0000  6 Cu 2.55-2.62, 2 Sc 2.79
Pt2 0.3591 0.8591 0.0000  6 Cu 2.55-2.62, 2 Sc 2.79
Cu3 0.8435 0.3435 0.5000  6 Pt 2.55-2.62
Cu4 0.6565 0.8435 0.5000  6 Pt 2.55-2.62
Pt3 0.6409 0.1409 0.0000  6 Cu 2.55-2.62, 2 Sc 2.79
Sc2 0.0000 0.0000 0.0000  4 Pt 2.79, 2 Sc 2.99, 8 Cu 3.11
Pt4 0.1409 0.3591 0.0000  6 Cu 2.55-2.62, 2 Sc 2.79

Magnetic moment, μB/f.u.: 0.0
E above lowest polymorph, meV per atom: 90
E_form, eV/atom: -0.450

10.
First-principles (GGA-PBE) data for crystalline ScCuPt3 at its relaxed geometry, as listed in the Alexandria database.

Lattice parameters (Å, degrees): 4.5719 4.5719 4.5719 90.00 90.00 90.00
Last column: nearest neighbours and their distance in Å.
Atoms (fractional coordinates):
Cu1 0.0000 0.0000 0.0000  6 Pt 2.29
Sc1 0.5000 0.5000 0.5000  12 Pt 3.23
Pt1 0.0000 0.0000 0.5000  2 Cu 2.29
Pt2 0.0000 0.5000 0.0000  2 Cu 2.29
Pt3 0.5000 0.0000 0.0000  2 Cu 2.29

Magnetic moment, μB/f.u.: 0.0
E above lowest polymorph, meV per atom: 874
E_form, eV/atom: 0.156

11.
First-principles (GGA-PBE) data for crystalline ScCu2Pt at its relaxed geometry, as listed in the Alexandria database.

Lattice parameters (Å, degrees): 4.6447 5.2980 2.9070 75.89 85.99 114.78
Last column: nearest neighbours and their distance in Å.
Atoms (fractional coordinates):
Cu1 0.5000 0.0000 0.5000  6 Cu 2.65-2.91, 2 Sc 2.69, 2 Pt 2.69
Sc1 0.5000 0.5000 0.0000  4 Pt 2.65-2.82, 4 Cu 2.69, 2 Sc 2.91
Cu2 0.0000 0.0000 0.0000  6 Cu 2.65-2.91, 2 Pt 2.69, 2 Sc 2.69
Pt1 0.0000 0.5000 0.5000  4 Sc 2.65-2.82, 4 Cu 2.69, 2 Pt 2.91

Magnetic moment, μB/f.u.: 0.0
E_form, eV/atom: -0.302

12.
First-principles (GGA-PBE) data for crystalline Sc4CuPt3 at its relaxed geometry, as listed in the Alexandria database.

Lattice parameters (Å, degrees): 4.6507 4.6507 8.0833 73.28 73.28 60.00
Last column: nearest neighbours and their distance in Å.
Atoms (fractional coordinates):
Pt1 0.7481 0.7481 0.7558  8 Sc 2.81-2.90
Pt2 0.5000 0.5000 0.5000  8 Sc 2.85-2.86
Pt3 0.2519 0.2519 0.2442  8 Sc 2.81-2.90
Sc1 0.1249 0.1249 0.6252  7 Pt 2.85-2.90, 1 Cu 2.86
Cu1 0.0000 0.0000 0.0000  8 Sc 2.85-2.86
Sc2 0.3748 0.3748 0.8755  5 Pt 2.81-2.86, 3 Cu 2.85
Sc3 0.6252 0.6252 0.1245  5 Pt 2.81-2.86, 3 Cu 2.85
Sc4 0.8751 0.8751 0.3748  7 Pt 2.85-2.90, 1 Cu 2.86

Magnetic moment, μB/f.u.: 0.0
E_form, eV/atom: -1.031

13.
First-principles (GGA-PBE) data for crystalline Sc3CuPt2 at its relaxed geometry, as listed in the Alexandria database.

Lattice parameters (Å, degrees): 4.6456 4.6456 11.4262 90.00 90.00 120.00
Last column: nearest neighbours and their distance in Å.
Atoms (fractional coordinates):
Sc1 0.3333 0.6667 0.4170  4 Pt 2.81-2.84, 4 Cu 2.82-2.84
Sc2 0.0000 0.0000 0.7493  5 Pt 2.83-2.86, 3 Cu 2.85
Sc3 0.6667 0.3333 0.5830  4 Pt 2.81-2.84, 4 Cu 2.82-2.84
Sc4 0.6667 0.3333 0.0839  7 Pt 2.85-2.91, 1 Cu 2.88
Sc5 0.3333 0.6667 0.9161  7 Pt 2.85-2.91, 1 Cu 2.88
Pt1 0.3333 0.6667 0.1710  8 Sc 2.81-2.91
Cu1 0.6667 0.3333 0.3358  8 Sc 2.82-2.88
Sc6 0.0000 0.0000 0.2507  5 Pt 2.83-2.86, 3 Cu 2.85
Pt2 0.6667 0.3333 0.8290  8 Sc 2.81-2.91
Pt3 0.0000 0.0000 0.5000  8 Sc 2.84-2.85
Cu2 0.3333 0.6667 0.6642  8 Sc 2.82-2.88
Pt4 0.0000 0.0000 0.0000  8 Sc 2.85-2.86

Magnetic moment, μB/f.u.: 0.0
E_form, eV/atom: -0.953

14.
First-principles (GGA-PBE) data for crystalline ScCu2Pt4 at its relaxed geometry, as listed in the Alexandria database.

Lattice parameters (Å, degrees): 4.7794 4.7794 7.0349 70.14 70.14 90.00
Last column: nearest neighbours and their distance in Å.
Atoms (fractional coordinates):
Sc1 0.0000 0.0000 0.0000  6 Pt 2.39-2.51
Pt1 0.0000 0.5000 0.0000  2 Sc 2.39, 4 Cu 2.68
Pt2 0.7965 0.7965 0.4071  1 Cu 2.46, 1 Sc 2.51
Cu1 0.5974 0.5974 0.8051  1 Cu 2.40, 5 Pt 2.46-2.68
Cu2 0.4026 0.4026 0.1949  1 Cu 2.40, 5 Pt 2.46-2.68
Pt3 0.2035 0.2035 0.5929  1 Cu 2.46, 1 Sc 2.51
Pt4 0.5000 0.0000 0.0000  2 Sc 2.39, 4 Cu 2.68

Magnetic moment, μB/f.u.: 0.0
E_form, eV/atom: 0.589

15.
First-principles (GGA-PBE) data for crystalline Sc2CuPt at its relaxed geometry, as listed in the Alexandria database.

Lattice parameters (Å, degrees): 3.3007 3.3075 7.2754 62.95 90.00 90.00
Last column: nearest neighbours and their distance in Å.
Atoms (fractional coordinates):
Cu1 0.5000 0.2500 0.2500  8 Sc 2.84
Sc1 0.0000 0.9980 0.0017  4 Cu 2.84, 4 Pt 2.85
Pt1 0.5000 0.7500 0.7500  8 Sc 2.85
Sc2 0.0000 0.5020 0.4983  4 Cu 2.84, 4 Pt 2.85

Magnetic moment, μB/f.u.: 0.0
E_form, eV/atom: -0.777

16.
First-principles (GGA-PBE) data for crystalline Sc4Cu2Pt at its relaxed geometry, as listed in the Alexandria database.

Lattice parameters (Å, degrees): 4.5884 4.5884 7.8460 73.00 73.00 60.00
Last column: nearest neighbours and their distance in Å.
Atoms (fractional coordinates):
Sc1 0.3799 0.3799 0.8604  4 Cu 2.75-2.79, 3 Pt 2.84
Cu1 0.7460 0.7460 0.7621  8 Sc 2.75-2.86
Cu2 0.2540 0.2540 0.2379  8 Sc 2.75-2.86
Sc2 0.8721 0.8721 0.3837  4 Cu 2.79-2.86, 1 Pt 2.83
Sc3 0.6201 0.6201 0.1396  4 Cu 2.75-2.79, 3 Pt 2.84
Pt1 0.0000 0.0000 0.0000  8 Sc 2.83-2.84
Sc4 0.1279 0.1279 0.6163  4 Cu 2.79-2.86, 1 Pt 2.83

Magnetic moment, μB/f.u.: 0.0
E_form, eV/atom: -0.456

17.
First-principles (GGA-PBE) data for crystalline ScCu2Pt at its relaxed geometry, as listed in the Alexandria database.

Lattice parameters (Å, degrees): 4.3885 4.3885 4.3885 60.00 60.00 60.00
Last column: nearest neighbours and their distance in Å.
Atoms (fractional coordinates):
Pt1 0.5000 0.5000 0.5000  8 Cu 2.69
Cu1 0.7500 0.7500 0.7500  4 Pt 2.69, 4 Sc 2.69
Cu2 0.2500 0.2500 0.2500  4 Pt 2.69, 4 Sc 2.69
Sc1 0.0000 0.0000 0.0000  8 Cu 2.69

Magnetic moment, μB/f.u.: 0.0
E_form, eV/atom: -0.498

18.
First-principles (GGA-PBE) data for crystalline ScCu3Pt at its relaxed geometry, as listed in the Alexandria database.

Lattice parameters (Å, degrees): 4.6556 4.6556 4.6556 90.00 90.00 90.00
Last column: nearest neighbours and their distance in Å.
Atoms (fractional coordinates):
Pt1 0.0000 0.0000 0.0000  6 Cu 2.33
Sc1 0.5000 0.5000 0.5000  12 Cu 3.29
Cu1 0.0000 0.0000 0.5000  2 Pt 2.33
Cu2 0.0000 0.5000 0.0000  2 Pt 2.33
Cu3 0.5000 0.0000 0.0000  2 Pt 2.33

Magnetic moment, μB/f.u.: 0.0
E above lowest polymorph, meV per atom: 447
E_form, eV/atom: 0.456

19.
First-principles (GGA-PBE) data for crystalline ScCu2Pt2 at its relaxed geometry, as listed in the Alexandria database.

Lattice parameters (Å, degrees): 3.8763 3.8763 6.1194 71.54 71.54 90.00
Last column: nearest neighbours and their distance in Å.
Atoms (fractional coordinates):
Pt1 0.7500 0.2500 0.5000  4 Cu 2.53, 4 Pt 2.74
Cu1 0.6019 0.6019 0.7961  1 Cu 2.23
Pt2 0.2500 0.7500 0.5000  4 Cu 2.53, 4 Pt 2.74
Sc1 0.0000 0.0000 0.0000  8 Cu 2.96
Cu2 0.3981 0.3981 0.2039  1 Cu 2.23

Magnetic moment, μB/f.u.: 0.0
E above lowest polymorph, meV per atom: 201
E_form, eV/atom: -0.339

20.
First-principles (GGA-PBE) data for crystalline ScCu3Pt at its relaxed geometry, as listed in the Alexandria database.

Lattice parameters (Å, degrees): 4.6240 4.6240 9.4963 104.09 104.09 90.00
Last column: nearest neighbours and their distance in Å.
Atoms (fractional coordinates):
Cu1 0.1280 0.8764 0.2561  2 Cu 2.30-2.33, 2 Pt 2.46-2.56
Sc1 0.5741 0.0741 0.1481  2 Pt 2.66, 6 Cu 2.76-2.98
Sc2 0.9259 0.4259 0.8519  2 Pt 2.66, 6 Cu 2.76-2.98
Cu2 0.1236 0.8720 0.7439  2 Cu 2.30-2.33, 2 Pt 2.46-2.56
Pt1 0.2500 0.7500 0.5000  8 Cu 2.46-2.64
Cu3 0.6203 0.8720 0.7439  2 Cu 2.30-2.33, 2 Pt 2.46-2.56
Cu4 0.3209 0.3209 0.6419  2 Pt 2.64, 4 Cu 2.74
Cu5 0.1280 0.3797 0.2561  2 Cu 2.30-2.33, 2 Pt 2.46-2.56
Cu6 0.6791 0.6791 0.3581  2 Pt 2.64, 4 Cu 2.74
Pt2 0.0000 0.0000 0.0000  4 Cu 2.56, 4 Sc 2.66

Magnetic moment, μB/f.u.: 0.0
E above lowest polymorph, meV per atom: 0
E_form, eV/atom: 0.010